The following is a PBE calculation of an optimized crystal structure of TcTe3Pt, from the Alexandria database.

Calculated values
The energy above the most stable polymorph in this dataset is 0.00 eV per formula unit. The total energy is -21.4 eV per formula unit.

Unit cell a=5.1234 b=5.1234 c=5.1234 alpha=90.00 beta=90.00 gamma=90.00
Positions (direct):
Te: 0.0000 0.5000 0.0000
Te: 0.0000 0.0000 0.5000
Te: 0.5000 0.0000 0.0000
Tc: 0.0000 0.0000 0.0000
Pt: 0.5000 0.5000 0.5000



The following is a PBE calculation of an optimized crystal structure of ScTl2BOs, from the Alexandria database.

Calculated values
The energy of formation comes out at 637 meV per atom. The total energy is -25.8 eV per formula unit.

Unit cell a=4.8817 b=4.1265 c=4.8817 alpha=90.00 beta=90.00 gamma=90.00
Positions (direct):
Sc: 0.5000 0.5000 0.5000
Tl: 0.0000 0.0000 0.5000
Tl: 0.5000 0.0000 0.0000
B: 0.0000 0.0000 0.0000
Os: 0.0000 0.5000 0.0000



The following is a PBE calculation of an optimized crystal structure of Na3CaO, from the Alexandria database.

Calculated values
The energy above the most stable polymorph in this dataset is 6.73 eV per formula unit. The total energy is -6.1 eV per formula unit.

Unit cell a=6.4099 b=6.4099 c=6.4099 alpha=90.00 beta=90.00 gamma=90.00
Positions (direct):
Na: 0.0000 0.5000 0.0000
Na: 0.0000 0.0000 0.5000
Na: 0.5000 0.0000 0.0000
Ca: 0.0000 0.0000 0.0000
O: 0.5000 0.5000 0.5000



The following is a PBE calculation of an optimized crystal structure of Sr2Ga9Ir6, from the Alexandria database.

Calculated values
The energy of formation comes out at -398 meV per atom. The total energy is -90.5 eV per formula unit.

Unit cell a=7.0900 b=7.0900 c=8.6337 alpha=90.00 beta=90.00 gamma=120.00
Positions (direct):
Sr: 0.0000 0.0000 0.7455
Sr: 0.0000 0.0000 0.2545
Ga: 0.5000 0.0000 0.8345
Ga: 0.0000 0.5000 0.8345
Ga: 0.5000 0.5000 0.8345
Ga: 0.5000 0.0000 0.1655
Ga: 0.0000 0.5000 0.1655
Ga: 0.5000 0.5000 0.1655
Ga: 0.5000 0.0000 0.5000
Ga: 0.0000 0.5000 0.5000
Ga: 0.5000 0.5000 0.5000
Ir: 0.3333 0.6667 0.0000
Ir: 0.6667 0.3333 0.0000
Ir: 0.3333 0.6667 0.6675
Ir: 0.6667 0.3333 0.6675
Ir: 0.6667 0.3333 0.3325
Ir: 0.3333 0.6667 0.3325



The following is a PBE calculation of an optimized crystal structure of NdTlHg, from the Alexandria database.

Calculated values
The energy of formation comes out at -407 meV per atom. The total energy is -8.7 eV per formula unit.

Unit cell a=5.3663 b=5.3663 c=6.6243 alpha=90.00 beta=90.00 gamma=119.97
Positions (direct):
Nd: 0.6664 0.8336 0.7500
Nd: 0.3336 0.1664 0.2500
Tl: 0.0000 0.5000 0.0000
Tl: 0.0000 0.5000 0.5000
Hg: 0.3331 0.1669 0.7500
Hg: 0.6669 0.8331 0.2500



The following is a PBE calculation of an optimized crystal structure of KTaS2Cl, from the Alexandria database.

Calculated values
The energy above the most stable polymorph in this dataset is 12.22 eV per formula unit. The total energy is -16.2 eV per formula unit.

Unit cell a=5.2765 b=5.2765 c=5.1369 alpha=90.00 beta=90.00 gamma=90.00
Site moments in Bohr magnetons follow the coordinates.
Positions (direct):
K: 0.0000 0.0000 0.0000  -0.06
Cl: 0.0000 0.0000 0.5000  -0.09
S: 0.0000 0.5000 0.0000  -0.58
S: 0.5000 0.0000 0.0000  -0.58
Ta: 0.5000 0.5000 0.5000  2.03